[1]
A plane-wave DFT calculation with GGA-PBE was carried out for an optimized crystal structure of CaAc2Sb3.

Cell lengths 4.7490, 6.7089, 8.1713 Å; angles 114.24, 106.89, 90.00 degrees
With the nearest neighbours (Å) after each atom.
Sites, in units of the cell vectors:
Ac 0.3328 0.8328 0.6656  6 Sb 3.35-3.37
Ac 0.6672 0.1672 0.3344  6 Sb 3.35-3.37
Sb 0.0000 0.0000 0.0000  4 Ac 3.35, 2 Ca 3.35
Sb 0.3368 0.3368 0.6735  2 Ca 3.31, 4 Ac 3.35-3.37
Sb 0.6632 0.6632 0.3265  2 Ca 3.31, 4 Ac 3.35-3.37
Ca 0.0000 0.5000 0.0000  6 Sb 3.31-3.35

## Properties
Fermi-level density of states   5.751 states/eV/f.u.
Raw formation energy   -98.9 kJ/mol of atoms

---

[2]
A plane-wave DFT calculation with GGA-PBE was carried out for an optimized crystal structure of Er5ThCd6.

Cell lengths 5.2333, 7.6113, 9.1157 Å; angles 114.68, 106.68, 90.00 degrees
With the nearest neighbours (Å) after each atom.
Sites, in units of the cell vectors:
Cd 0.8294 0.0897 0.6588  7 Er 3.19-3.29, 1 Th 3.33
Cd 0.5000 0.2675 0.0000  6 Er 3.16-3.26, 2 Th 3.32
Cd 0.1706 0.9103 0.3412  7 Er 3.19-3.29, 1 Th 3.33
Cd 0.5000 0.7325 0.0000  6 Er 3.16-3.26, 2 Th 3.32
Cd 0.8294 0.5691 0.6588  7 Er 3.19-3.29, 1 Th 3.33
Cd 0.1706 0.4309 0.3412  7 Er 3.19-3.29, 1 Th 3.33
Er 0.0000 0.5000 0.0000  8 Cd 3.16-3.24
Er 0.6616 0.1616 0.3233  8 Cd 3.21-3.29
Er 0.3384 0.8384 0.6767  8 Cd 3.21-3.29
Er 0.3308 0.3308 0.6616  8 Cd 3.19-3.20
Er 0.6692 0.6692 0.3384  8 Cd 3.19-3.20
Th 0.0000 0.0000 0.0000  8 Cd 3.32-3.33, 4 Er 3.65

## Properties
Fermi-level density of states   14.275 states/eV/f.u.
DFT formation energy   -3.12 eV/f.u.

---

[3]
A plane-wave DFT calculation with GGA-PBE was carried out for an optimized crystal structure of LaTb5DyTh2.

Cell lengths 8.9279, 8.9279, 9.9233 Å; angles 116.73, 116.73, 90.00 degrees
With the nearest neighbours (Å) after each atom.
Sites, in units of the cell vectors:
La 0.2500 0.2500 0.5000  10 Tb 3.65-3.83
La 0.7500 0.7500 0.5000  10 Tb 3.65-3.83
Tb 0.5708 0.6572 0.7280  1 Th 3.03, 1 Dy 3.14
Tb 0.9292 0.4292 0.2720  1 Th 3.03, 1 Dy 3.14
Tb 0.3428 0.8428 0.2720  1 Th 3.03, 1 Dy 3.14
Tb 0.6572 0.1572 0.7280  1 Th 3.03, 1 Dy 3.14
Tb 0.8428 0.9292 0.2720  1 Th 3.03, 1 Dy 3.14
Tb 0.0000 0.0000 0.0000  4 Th 3.56, 8 Tb 3.82, 2 La 3.83
Tb 0.4292 0.3428 0.2720  1 Th 3.03, 1 Dy 3.14
Tb 0.0708 0.5708 0.7280  1 Th 3.03, 1 Dy 3.14
Tb 0.5000 0.5000 0.0000  4 Th 3.56, 8 Tb 3.82, 2 La 3.83
Tb 0.1572 0.0708 0.7280  1 Th 3.03, 1 Dy 3.14
Th 0.3811 0.8811 0.0000  1 Th 3.00, 2 Tb 3.03
Th 0.6189 0.1189 0.0000  1 Th 3.00, 2 Tb 3.03
Th 0.8811 0.6189 0.0000  1 Th 3.00, 2 Tb 3.03
Th 0.1189 0.3811 0.0000  1 Th 3.00, 2 Tb 3.03
Dy 0.7500 0.2500 0.5000  4 Tb 3.14
Dy 0.2500 0.7500 0.5000  4 Tb 3.14

## Properties
Fermi-level density of states   13.099 states/eV/f.u.
DFT formation energy   2.92 eV/f.u.

---

[4]
A plane-wave DFT calculation with GGA-PBE was carried out for an optimized crystal structure of CaAl2TlPd.

Cell lengths 4.8147, 5.3729, 4.8147 Å; angles 90.00, 90.00, 90.00 degrees
With the nearest neighbours (Å) after each atom.
Sites, in units of the cell vectors:
Ca 0.5000 0.5000 0.5000  4 Tl 3.40, 8 Al 3.61
Al 0.0000 0.0000 0.5000  2 Pd 2.41
Al 0.5000 0.0000 0.0000  2 Pd 2.41
Tl 0.0000 0.5000 0.0000  2 Pd 2.69
Pd 0.0000 0.0000 0.0000  4 Al 2.41, 2 Tl 2.69

## Properties
Fermi-level density of states   3.192 states/eV/f.u.
DFT formation energy   -0.72 eV/f.u.

---

[5]
A plane-wave DFT calculation with GGA-PBE was carried out for an optimized crystal structure of K3TeH.

Cell lengths 5.6657, 5.6657, 14.8535 Å; angles 90.00, 90.00, 120.00 degrees
With the nearest neighbours (Å) after each atom.
Sites, in units of the cell vectors:
K 0.3333 0.6667 0.5776  1 H 2.56
K 0.3333 0.6667 0.9224  1 H 2.56
K 0.6667 0.3333 0.0776  1 H 2.56
K 0.0000 0.0000 0.2500  3 H 3.27
K 0.6667 0.3333 0.4224  1 H 2.56
K 0.0000 0.0000 0.7500  3 H 3.27
H 0.3333 0.6667 0.7500  2 K 2.56
H 0.6667 0.3333 0.2500  2 K 2.56
Te 0.0000 0.0000 0.5000  8 K 3.47-3.71
Te 0.0000 0.0000 0.0000  8 K 3.47-3.71

## Properties
Fermi-level density of states   0.000 states/eV/f.u.
Raw total energy   -2.605 eV/atom

---

[6]
A plane-wave DFT calculation with GGA-PBE was carried out for an optimized crystal structure of TaTePt.

Cell lengths 5.8662, 5.8662, 3.2971 Å; angles 73.68, 73.68, 32.64 degrees
With the nearest neighbours (Å) after each atom.
Sites, in units of the cell vectors:
Te 0.6748 0.6748 0.3252  4 Ta 2.94, 4 Pt 3.11
Pt 0.9835 0.9835 0.0165  4 Ta 2.79, 4 Te 3.11
Ta 0.3417 0.3417 0.6583  4 Pt 2.79, 4 Te 2.94

## Properties
Fermi-level density of states   2.421 states/eV/f.u.
Raw formation energy   -6.3 kJ/mol of atoms

---

[7]
A plane-wave DFT calculation with GGA-PBE was carried out for an optimized crystal structure of YPd12Au6.

Cell lengths 7.0965, 7.0965, 7.0965 Å; angles 101.95, 101.95, 101.95 degrees
With the nearest neighbours (Å) after each atom.
Sites, in units of the cell vectors:
Pd 0.0003 0.2608 0.7389  4 Au 2.74-2.95, 6 Pd 2.78-2.94, 1 Y 2.88
Pd 0.4106 0.4100 0.8150  5 Pd 2.59-2.78, 1 Au 2.86
Pd 0.7389 0.0003 0.2608  4 Au 2.74-2.95, 6 Pd 2.78-2.94, 1 Y 2.88
Pd 0.9997 0.7392 0.2611  4 Au 2.74-2.95, 6 Pd 2.78-2.94, 1 Y 2.88
Pd 0.1850 0.5894 0.5900  5 Pd 2.59-2.78, 1 Au 2.86
Pd 0.7392 0.2611 0.9997  4 Au 2.74-2.95, 6 Pd 2.78-2.94, 1 Y 2.88
Pd 0.5900 0.1850 0.5894  5 Pd 2.59-2.78, 1 Au 2.86
Pd 0.8150 0.4106 0.4100  5 Pd 2.59-2.78, 1 Au 2.86
Pd 0.4100 0.8150 0.4106  5 Pd 2.59-2.78, 1 Au 2.86
Pd 0.2611 0.9997 0.7392  4 Au 2.74-2.95, 6 Pd 2.78-2.94, 1 Y 2.88
Pd 0.5894 0.5900 0.1850  5 Pd 2.59-2.78, 1 Au 2.86
Pd 0.2608 0.7389 0.0003  4 Au 2.74-2.95, 6 Pd 2.78-2.94, 1 Y 2.88
Au 0.4310 0.1719 0.1712  7 Pd 2.74-2.95, 2 Au 2.86, 1 Y 2.94
Au 0.1712 0.4310 0.1719  7 Pd 2.74-2.95, 2 Au 2.86, 1 Y 2.94
Au 0.1719 0.1712 0.4310  7 Pd 2.74-2.95, 2 Au 2.86, 1 Y 2.94
Au 0.8288 0.5690 0.8281  7 Pd 2.74-2.95, 2 Au 2.86, 1 Y 2.94
Au 0.5690 0.8281 0.8288  7 Pd 2.74-2.95, 2 Au 2.86, 1 Y 2.94
Au 0.8281 0.8288 0.5690  7 Pd 2.74-2.95, 2 Au 2.86, 1 Y 2.94
Y 0.0000 0.0000 0.0000  6 Pd 2.88, 6 Au 2.94

## Properties
Fermi-level density of states   22.392 states/eV/f.u.
DFT formation energy   -2.09 eV/f.u.

---

[8]
A plane-wave DFT calculation with GGA-PBE was carried out for an optimized crystal structure of PrHI.

Cell lengths 4.0279, 4.0279, 5.0773 Å; angles 90.00, 90.00, 120.00 degrees
With the nearest neighbours (Å) after each atom.
Sites, in units of the cell vectors:
Pr 0.6667 0.3333 0.4700  3 H 2.34
H 0.3333 0.6667 0.5227  3 Pr 2.34
I 0.0000 0.0000 0.0073  6 Pr 3.31-3.58, 6 H 3.39-3.50

## Properties
Fermi-level density of states   2.326 states/eV/f.u.
Raw total energy   -4.008 eV/atom

---

[9]
A plane-wave DFT calculation with GGA-PBE was carried out for an optimized crystal structure of TcSe2O.

Cell lengths 8.2340, 8.2340, 8.2340 Å; angles 21.08, 21.08, 21.08 degrees
With the nearest neighbours (Å) after each atom.
Sites, in units of the cell vectors:
Se 0.9022 0.9022 0.9022  1 Tc 2.36, 3 O 2.41
Se 0.0978 0.0978 0.0978  1 Tc 2.36, 3 O 2.41
Tc 0.0000 0.0000 0.0000  2 Se 2.36
O 0.5000 0.5000 0.5000  6 Se 2.41

## Properties
Fermi-level density of states   3.887 states/eV/f.u.
Raw formation energy   67.0 kJ/mol of atoms

---

[10]
A plane-wave DFT calculation with GGA-PBE was carried out for an optimized crystal structure of Li2Mg3Si2.

Cell lengths 7.8124, 7.8124, 7.8124 Å; angles 33.46, 33.46, 33.46 degrees
With the nearest neighbours (Å) after each atom.
Sites, in units of the cell vectors:
Li 0.3675 0.3675 0.3675  4 Si 2.68-2.90, 3 Li 2.77
Li 0.7448 0.7448 0.7448  4 Mg 2.66-2.82, 3 Li 2.77
Mg 0.1280 0.1280 0.1280  4 Si 2.72, 3 Li 2.82
Mg 0.6244 0.6244 0.6244  1 Li 2.66, 4 Si 2.78-2.80
Mg 0.8818 0.8818 0.8818  4 Si 2.72-2.82, 1 Li 3.03
Si 0.0049 0.0049 0.0049  3 Li 2.68, 5 Mg 2.72-2.80
Si 0.4987 0.4987 0.4987  7 Mg 2.72-2.82, 1 Li 2.90

## Properties
Fermi-level density of states   0.429 states/eV/f.u.
Raw formation energy   -19.0 kJ/mol of atoms

---

Question: Which formula does entry 2 have?
Answer: Er5ThCd6